Li4TiCrO6: relaxed, PBE with a Hubbard U.

Computed properties:
SG: C2 (5)
Distance to the lowest polymorph of the same formula in meV/atom: 5
Energy in eV per cell: -79.88
Density in Mg/m³: 3.46

abc: 5.052 5.052 5.147
angles: 100.03 100.03 119.35
Fractional coordinates of all 12 atoms:
1 Li 0.000 0.000 0.000
2 Li 0.164 0.836 0.500
3 Li 0.492 0.508 0.500
4 Li 0.844 0.156 0.500
5 Ti 0.671 0.329 0.000
6 Cr 0.332 0.668 0.000
7 O 0.077 0.429 0.228
8 O 0.281 0.282 0.772
9 O 0.432 0.066 0.225
10 O 0.571 0.923 0.772
11 O 0.718 0.719 0.228
12 O 0.934 0.568 0.775